# 1
AlFe4Tc: optimized geometry, PBE.

volume	74.2	Å³/cell
energy of formation	-0.18	eV per formula unit

Cell: 4.7160 4.7160 4.7160 Å, 60.00 60.00 60.00°
Closest atoms and distances in Å follow each position.
Positions (direct):
Al 0.0000 0.0000 0.0000  12 Fe 2.77, 4 Tc 2.89
Fe 0.1267 0.6244 0.6244  6 Fe 2.35-2.37
Fe 0.6244 0.1267 0.6244  6 Fe 2.35-2.37
Fe 0.6244 0.6244 0.1267  6 Fe 2.35-2.37
Fe 0.6244 0.6244 0.6244  6 Fe 2.35-2.37
Tc 0.2500 0.2500 0.2500  12 Fe 2.76, 4 Al 2.89

---

# 2
Sm2LuNb: optimized geometry, PBE.

volume	110.4	Å³/cell
energy of formation	2.15	eV per formula unit

Cell: 11.7374 11.7374 11.7374 Å, 16.25 16.25 16.25°
Closest atoms and distances in Å follow each position.
Positions (direct):
Sm 0.0837 0.0837 0.0837  1 Nb 2.91
Sm 0.9163 0.9163 0.9163  1 Nb 2.91
Lu 0.5000 0.5000 0.5000  6 Lu 3.32, 6 Sm 3.46
Nb 0.0000 0.0000 0.0000  2 Sm 2.91

---

# 3
Ho2ScTl: optimized geometry, PBE.

volume	108.9	Å³/cell
energy above the lowest structure with this stoichiometry	64.5	meV/atom
energy of formation	-0.41	eV per formula unit

Cell: 5.3277 5.3277 3.8354 Å, 90.00 90.00 90.00°
Closest atoms and distances in Å follow each position.
Positions (direct):
Ho 0.0000 0.5000 0.0000  4 Tl 3.28, 4 Sc 3.28
Ho 0.5000 0.0000 0.0000  4 Tl 3.28, 4 Sc 3.28
Sc 0.0000 0.0000 0.5000  8 Ho 3.28
Tl 0.5000 0.5000 0.5000  8 Ho 3.28

---

# 4
SmUC2: optimized geometry, PBE.

volume	65.7	Å³/cell
energy above the lowest structure with this stoichiometry	155.7	meV/atom
energy of formation	-0.18	eV per formula unit

Cell: 6.2782 6.2782 6.2782 Å, 33.09 33.09 33.09°
Closest atoms and distances in Å follow each position.
Positions (direct):
Sm 0.0000 0.0000 0.0000  6 C 2.63-2.82
U 0.8275 0.8275 0.8275  6 C 2.36-2.40
C 0.2256 0.2256 0.2256  3 U 2.36
C 0.4253 0.4253 0.4253  3 U 2.40, 3 Sm 2.63

---

# 5
Li2ErMg: optimized geometry, PBE.

volume	90.9	Å³/cell
energy above the lowest structure with this stoichiometry	54.1	meV/atom
energy of formation	0.50	eV per formula unit

Cell: 5.2455 5.2455 3.3038 Å, 90.00 90.00 90.00°
Closest atoms and distances in Å follow each position.
Positions (direct):
Li 0.0000 0.5000 0.0000  4 Mg 3.10, 4 Er 3.10, 2 Li 3.30
Li 0.5000 0.0000 0.0000  4 Mg 3.10, 4 Er 3.10, 2 Li 3.30
Er 0.0000 0.0000 0.5000  8 Li 3.10, 2 Er 3.30
Mg 0.5000 0.5000 0.5000  8 Li 3.10, 2 Mg 3.30

---

# 6
CoReSi2: optimized geometry, PBE.

volume	48.9	Å³/cell
formation energy from raw total energies	-0.28	eV/atom
energy above the lowest structure with this stoichiometry	12.4	meV/atom

Cell: 4.1054 4.1054 4.1054 Å, 60.00 60.00 60.00°
Closest atoms and distances in Å follow each position.
Positions (direct):
Co 0.0000 0.0000 0.0000  8 Si 2.51
Re 0.5000 0.5000 0.5000  8 Si 2.51
Si 0.2500 0.2500 0.2500  4 Re 2.51, 4 Co 2.51
Si 0.7500 0.7500 0.7500  4 Re 2.51, 4 Co 2.51

---

# 7
VNiTe2: optimized geometry, PBE.

volume	78.9	Å³/cell
formation energy from raw total energies	-0.03	eV/atom

Cell: 6.9562 6.9562 6.9562 Å, 30.93 30.93 30.93°
Closest atoms and distances in Å follow each position.
Positions (direct):
V 0.0000 0.0000 0.0000  6 Te 2.68-2.80, 1 Ni 2.93
Ni 0.8524 0.8524 0.8524  3 Te 2.52
Te 0.2525 0.2525 0.2525  3 Ni 2.52, 3 V 2.68
Te 0.4241 0.4241 0.4241  3 V 2.80, 3 Ni 2.85

---

# 8
SbSCl: optimized geometry, PBE.

volume	196.4	Å³/cell
formation energy from raw total energies	-0.35	eV/atom

Cell: 4.9634 5.9780 7.2917 Å, 83.50 71.88 72.80°
Closest atoms and distances in Å follow each position.
Positions (direct):
Sb 0.0000 0.0000 0.0000  2 Cl 2.41-2.48
Sb 0.4754 0.5436 0.0005  2 S 2.54-2.58
S 0.0725 0.3741 0.2371  1 S 2.08
S 0.6685 0.6219 0.2636  1 S 2.08
Cl 0.3064 0.1781 0.7374  1 Sb 2.41
Cl 0.9545 0.7753 0.7507  1 Sb 2.48

---

# 9
Ti2CdCl: optimized geometry, PBE.

volume	182.3	Å³/cell
formation energy from raw total energies	0.36	eV/atom
energy above the lowest structure with this stoichiometry	129.6	meV/atom

Cell: 8.2601 8.2601 8.2601 Å, 145.24 145.24 49.98°
Closest atoms and distances in Å follow each position.
Positions (direct):
Ti 0.0264 0.6250 0.9014  2 Cl 2.36
Ti 0.3750 0.2764 0.4014  2 Cl 2.36
Ti 0.7236 0.1250 0.0986  2 Cl 2.36
Ti 0.8750 0.9736 0.5986  2 Cl 2.36
Cd 0.2500 0.7500 0.5000  4 Ti 2.83
Cd 0.5000 0.5000 0.0000  4 Ti 2.83
Cl 0.0000 0.0000 0.0000  4 Ti 2.36
Cl 0.7500 0.2500 0.5000  4 Ti 2.36

---

# 10
Sc2CuBr2: optimized geometry, PBE.

volume	123.0	Å³/cell
formation energy from raw total energies	-0.29	eV/atom
energy above the lowest structure with this stoichiometry	26.9	meV/atom

Cell: 6.3705 6.3705 6.3705 Å, 136.02 136.02 63.95°
Closest atoms and distances in Å follow each position.
Positions (direct):
Sc 0.2500 0.7500 0.5000  4 Br 2.65
Sc 0.7500 0.2500 0.5000  4 Br 2.65
Cu 0.0000 0.0000 0.0000  8 Sc 3.60, 10 Br 3.71-3.86
Br 0.3567 0.3567 0.0000  4 Sc 2.65
Br 0.6433 0.6433 0.0000  4 Sc 2.65

---

# 11
Er2PbO: optimized geometry, PBE.

volume	398.0	Å³/cell
formation energy from raw total energies	-1.55	eV/atom
energy above the lowest structure with this stoichiometry	229.8	meV/atom

Cell: 6.3499 6.2676 10.9424 Å, 90.00 113.94 90.00°
Closest atoms and distances in Å follow each position.
Positions (direct):
Er 0.0288 0.2342 0.0754  2 O 2.20-2.22
Er 0.0288 0.7658 0.5754  2 O 2.20-2.22
Er 0.2809 0.1837 0.8243  2 O 2.21-2.24
Er 0.2809 0.8163 0.3243  2 O 2.21-2.24
Er 0.7191 0.1837 0.6757  2 O 2.21-2.24
Er 0.7191 0.8163 0.1757  2 O 2.21-2.24
Er 0.9712 0.2342 0.4246  2 O 2.20-2.22
Er 0.9712 0.7658 0.9246  2 O 2.20-2.22
Pb 0.4305 0.3107 0.3726  2 Pb 3.15-3.49, 6 Er 3.17-3.29
Pb 0.4305 0.6893 0.8726  2 Pb 3.15-3.49, 6 Er 3.17-3.29
Pb 0.5695 0.3107 0.1274  2 Pb 3.15-3.49, 6 Er 3.17-3.29
Pb 0.5695 0.6893 0.6274  2 Pb 3.15-3.49, 6 Er 3.17-3.29
O 0.0090 0.1056 0.6214  4 Er 2.20-2.24
O 0.0090 0.8944 0.1214  4 Er 2.20-2.24
O 0.9910 0.1056 0.8786  4 Er 2.20-2.24
O 0.9910 0.8944 0.3786  4 Er 2.20-2.24

---

# 12
Al2RePdF: optimized geometry, PBE.

volume	92.3	Å³/cell
formation energy from raw total energies	0.14	eV/atom

Cell: 4.8752 4.8752 3.8852 Å, 90.00 90.00 90.00°
Closest atoms and distances in Å follow each position.
Positions (direct):
Al 0.0000 0.5000 0.0000  2 Re 2.44
Al 0.5000 0.0000 0.0000  2 Re 2.44
Re 0.0000 0.0000 0.0000  2 F 1.94
Pd 0.5000 0.5000 0.5000  8 Al 3.12, 4 F 3.45
F 0.0000 0.0000 0.5000  2 Re 1.94

---

# 13
BeZnGa3: optimized geometry, PBE.

volume	92.4	Å³/cell
energy above the lowest structure with this stoichiometry	0.0	meV/atom
energy of formation	1.44	eV per formula unit

Cell: 4.5206 4.5206 4.5206 Å, 90.00 90.00 90.00°
Closest atoms and distances in Å follow each position.
Positions (direct):
Be 0.0000 0.0000 0.0000  6 Ga 2.26
Zn 0.5000 0.5000 0.5000  12 Ga 3.20
Ga 0.0000 0.0000 0.5000  2 Be 2.26
Ga 0.0000 0.5000 0.0000  2 Be 2.26
Ga 0.5000 0.0000 0.0000  2 Be 2.26

---

# 14
Zr3Cu3Pd2: optimized geometry, PBE.

volume	141.2	Å³/cell
energy of formation	-2.35	eV per formula unit

Cell: 6.7808 6.7808 3.5454 Å, 90.00 90.00 120.00°
Closest atoms and distances in Å follow each position.
Positions (direct):
Zr 0.0000 0.3806 0.0000  4 Pd 2.76, 4 Cu 2.86
Zr 0.3806 0.0000 0.0000  4 Pd 2.76, 4 Cu 2.86
Zr 0.6194 0.6194 0.0000  4 Pd 2.76, 4 Cu 2.86
Cu 0.0000 0.7757 0.5000  2 Cu 2.63, 2 Pd 2.71, 4 Zr 2.86
Cu 0.2243 0.2243 0.5000  2 Cu 2.63, 2 Pd 2.71, 4 Zr 2.86
Cu 0.7757 0.0000 0.5000  2 Cu 2.63, 2 Pd 2.71, 4 Zr 2.86
Pd 0.3333 0.6667 0.5000  3 Cu 2.71, 6 Zr 2.76
Pd 0.6667 0.3333 0.5000  3 Cu 2.71, 6 Zr 2.76

---

# 15
Zr4ZnN: optimized geometry, PBE.

volume	227.0	Å³/cell
formation energy from raw total energies	-0.62	eV/atom
energy above the lowest structure with this stoichiometry	0.0	meV/atom

Cell: 7.4132 7.4132 6.4381 Å, 105.42 105.42 42.03°
Closest atoms and distances in Å follow each position.
Positions (direct):
Zr 0.0715 0.1349 0.4313  1 N 2.27
Zr 0.1349 0.0715 0.9313  1 N 2.27
Zr 0.2622 0.3531 0.8163  2 N 2.24-2.25
Zr 0.3531 0.2622 0.3163  2 N 2.24-2.25
Zr 0.6469 0.7378 0.6837  2 N 2.24-2.25
Zr 0.7378 0.6469 0.1837  2 N 2.24-2.25
Zr 0.8651 0.9285 0.0687  1 N 2.27
Zr 0.9285 0.8651 0.5687  1 N 2.27
Zn 0.4514 0.5486 0.2500  6 Zr 2.86-3.16
Zn 0.5486 0.4514 0.7500  6 Zr 2.86-3.16
N 0.0000 0.5000 0.5000  6 Zr 2.24-2.27
N 0.5000 0.0000 0.0000  6 Zr 2.24-2.27

---

# 16
LaMgTa2: optimized geometry, PBE.

volume	88.3	Å³/cell
energy of formation	2.36	eV per formula unit

Cell: 5.6593 5.6593 5.6593 Å, 135.32 135.32 65.04°
Closest atoms and distances in Å follow each position.
Positions (direct):
La 0.0000 0.0000 0.0000  4 Mg 3.04, 8 Ta 3.21
Mg 0.5000 0.5000 0.0000  4 La 3.04, 8 Ta 3.21
Ta 0.2500 0.7500 0.5000  4 Ta 3.04, 4 Mg 3.21, 4 La 3.21
Ta 0.7500 0.2500 0.5000  4 Ta 3.04, 4 Mg 3.21, 4 La 3.21

---

# 17
Na2ThReN4: optimized geometry, PBE.

volume	271.4	Å³/cell
formation energy from raw total energies	-0.55	eV/atom

Cell: 7.2721 7.4281 5.0247 Å, 90.00 90.00 90.00°
Closest atoms and distances in Å follow each position.
Positions (direct):
Na 0.2434 0.1319 0.0000  3 N 2.36-2.49
Na 0.2566 0.8681 0.5000  3 N 2.36-2.49
Na 0.7434 0.8681 0.5000  3 N 2.36-2.49
Na 0.7566 0.1319 0.0000  3 N 2.36-2.49
Th 0.0000 0.6370 0.0032  4 N 2.28-2.43
Th 0.5000 0.3630 0.5032  4 N 2.28-2.43
Re 0.0000 0.3172 0.4483  4 N 1.84-1.90
Re 0.5000 0.6828 0.9483  4 N 1.84-1.90
N 0.0000 0.3345 0.0830  1 Re 1.84
N 0.0000 0.5663 0.5316  1 Re 1.90
N 0.2221 0.2008 0.5233  1 Re 1.87
N 0.2779 0.7992 0.0233  1 Re 1.87
N 0.5000 0.4337 0.0316  1 Re 1.90
N 0.5000 0.6655 0.5830  1 Re 1.84
N 0.7221 0.7992 0.0233  1 Re 1.87
N 0.7779 0.2008 0.5233  1 Re 1.87

---

# 18
InCu2Ir2: optimized geometry, PBE.

volume	154.1	Å³/cell
energy of formation	1.07	eV per formula unit

Cell: 7.1518 7.1518 3.0122 Å, 90.00 90.00 90.00°
Closest atoms and distances in Å follow each position.
Positions (direct):
In 0.0000 0.0000 0.0000  4 Ir 2.81, 2 In 3.01, 8 Cu 3.06
In 0.5000 0.5000 0.0000  4 Ir 2.81, 2 In 3.01, 8 Cu 3.06
Cu 0.1681 0.3319 0.5000  6 Ir 2.55-2.62
Cu 0.3319 0.8319 0.5000  6 Ir 2.55-2.62
Cu 0.6681 0.1681 0.5000  6 Ir 2.55-2.62
Cu 0.8319 0.6681 0.5000  6 Ir 2.55-2.62
Ir 0.1290 0.6290 0.0000  6 Cu 2.55-2.62, 1 Ir 2.61, 2 In 2.81
Ir 0.3710 0.1290 0.0000  6 Cu 2.55-2.62, 1 Ir 2.61, 2 In 2.81
Ir 0.6290 0.8710 0.0000  6 Cu 2.55-2.62, 1 Ir 2.61, 2 In 2.81
Ir 0.8710 0.3710 0.0000  6 Cu 2.55-2.62, 1 Ir 2.61, 2 In 2.81

---

# 19
ZrInN2: optimized geometry, PBE.

volume	132.8	Å³/cell
formation energy from raw total energies	-0.51	eV/atom

Cell: 6.1876 6.1876 6.1876 Å, 130.78 130.78 72.16°
Closest atoms and distances in Å follow each position.
Positions (direct):
Zr 0.0000 0.0000 0.0000  4 N 2.12
Zr 0.7500 0.2500 0.5000  4 N 2.12
In 0.2500 0.7500 0.5000  4 N 2.31
In 0.5000 0.5000 0.0000  4 N 2.31
N 0.0929 0.6250 0.9679  2 Zr 2.12, 2 In 2.31
N 0.3750 0.3429 0.4679  2 Zr 2.12, 2 In 2.31
N 0.6571 0.1250 0.0321  2 Zr 2.12, 2 In 2.31
N 0.8750 0.9071 0.5321  2 Zr 2.12, 2 In 2.31

---

# 20
RbCr3P: optimized geometry, PBE.

volume	161.3	Å³/cell
energy above the lowest structure with this stoichiometry	1812.2	meV/atom
energy of formation	13.23	eV per formula unit

Cell: 5.4438 5.4438 5.4438 Å, 90.00 90.00 90.00°
Closest atoms and distances in Å follow each position.
Positions (direct):
Rb 0.0000 0.0000 0.0000  6 Cr 2.72
Cr 0.0000 0.0000 0.5000  2 Rb 2.72
Cr 0.0000 0.5000 0.0000  2 Rb 2.72
Cr 0.5000 0.0000 0.0000  2 Rb 2.72
P 0.5000 0.5000 0.5000  12 Cr 3.85